Material: PrSc2Rh
Method: DFT, PBE-GGA
State: optimized geometry

Cell lengths 3.5696, 3.5696, 27.3841 Å; angles 90.00, 90.00, 120.00 degrees
With the nearest neighbours (Å) after each atom.
Space group R-3m (No. 166, hexagonal axes)
Symmetry-distinct sites (fractional):
Pr  0.0000  0.0000  0.0000 (multiplicity 3)  6 Pr 3.57, 6 Sc 3.60
Sc  0.0000  0.0000  0.2256 (multiplicity 6)  3 Rh 2.62
Rh  0.0000  0.0000  0.5000 (multiplicity 3)  6 Sc 2.62

Offset from the most stable computed form, eV per atom: 0.163

***

Material: Pr2ScSi3Rh4
Method: DFT, PBE-GGA
State: optimized geometry

Cell lengths 4.1456, 4.1456, 10.6340 Å; angles 90.00, 90.00, 90.00 degrees
With the nearest neighbours (Å) after each atom.
Space group P-4m2 (No. 115)
Symmetry-distinct sites (fractional):
Pr  0.0000  0.5000  0.2394 (multiplicity 2)  8 Rh 3.16-3.28, 6 Si 3.19-3.46, 2 Sc 3.46
Sc  0.0000  0.0000  0.5000 (multiplicity 1)  4 Rh 2.61
Si  0.0000  0.5000  0.8796 (multiplicity 2)  5 Rh 2.44-2.46
Si  0.5000  0.5000  0.5000 (multiplicity 1)  4 Rh 2.61
Rh  0.0000  0.0000  0.0000 (multiplicity 1)  4 Si 2.44
Rh  0.0000  0.5000  0.6484 (multiplicity 2)  3 Si 2.46-2.61, 2 Sc 2.61
Rh  0.5000  0.5000  0.0000 (multiplicity 1)  4 Si 2.44

Calculated total energy, Ha/atom: -0.2635

***

Material: Pr2ScSn2Rh5
Method: DFT, PBE-GGA
State: optimized geometry

Cell lengths 10.4146, 10.4146, 3.7266 Å; angles 90.00, 90.00, 90.00 degrees
With the nearest neighbours (Å) after each atom.
Space group P4/mbm (No. 127)
Symmetry-distinct sites (fractional):
Pr  0.1713  0.3287  0.0000 (multiplicity 4)  3 Sn 2.96-3.15, 6 Rh 3.14-3.31
Sc  0.0000  0.0000  0.0000 (multiplicity 2)  8 Rh 2.88
Sn  0.1276  0.6276  0.0000 (multiplicity 4)  6 Rh 2.65-2.67, 1 Pr 2.96
Rh  0.0000  0.5000  0.5000 (multiplicity 2)  4 Sn 2.65
Rh  0.0591  0.7981  0.5000 (multiplicity 8)  2 Sn 2.67, 2 Sc 2.88

Calculated total energy, Ha/atom: -0.2443

***

Material: PrScZnRh
Method: DFT, PBE-GGA
State: optimized geometry

Cell lengths 6.9570, 6.9570, 6.9570 Å; angles 90.00, 90.00, 90.00 degrees
With the nearest neighbours (Å) after each atom.
Space group F-43m (No. 216)
Symmetry-distinct sites (fractional):
Pr  0.0000  0.0000  0.0000 (multiplicity 4)  4 Zn 3.01, 4 Rh 3.01
Sc  0.0000  0.0000  0.5000 (multiplicity 4)  4 Rh 3.01, 4 Zn 3.01
Zn  0.2500  0.2500  0.2500 (multiplicity 4)  4 Sc 3.01, 4 Pr 3.01
Rh  0.2500  0.2500  0.7500 (multiplicity 4)  4 Pr 3.01, 4 Sc 3.01

Calculated total energy, Ha/atom: -0.1991

***

Material: Pr2ScZn2Rh5
Method: DFT, PBE-GGA
State: optimized geometry

Cell lengths 10.0050, 10.0050, 3.6169 Å; angles 90.00, 90.00, 90.00 degrees
With the nearest neighbours (Å) after each atom.
Space group P4/mbm (No. 127)
Symmetry-distinct sites (fractional):
Pr  0.1745  0.3255  0.0000 (multiplicity 4)  3 Zn 2.87-3.02, 6 Rh 3.06-3.19
Sc  0.0000  0.0000  0.0000 (multiplicity 2)  8 Rh 2.81
Zn  0.1227  0.6227  0.0000 (multiplicity 4)  6 Rh 2.51-2.57
Rh  0.0000  0.5000  0.5000 (multiplicity 2)  4 Zn 2.51
Rh  0.0649  0.7952  0.5000 (multiplicity 8)  2 Zn 2.57, 2 Sc 2.81

Calculated total energy, Ha/atom: -0.2253

***

Material: Pr3RhSe2
Method: DFT, PBE-GGA
State: optimized geometry

Cell lengths 4.1214, 6.1041, 13.1184 Å; angles 90.00, 90.00, 90.00 degrees
With the nearest neighbours (Å) after each atom.
Space group Immm (No. 71)
Symmetry-distinct sites (fractional):
Pr  0.0000  0.0000  0.0000 (multiplicity 2)  4 Se 3.05, 2 Rh 3.05
Pr  0.0000  0.0000  0.3482 (multiplicity 4)  2 Rh 2.87, 4 Se 3.06-3.10
Rh  0.0000  0.5000  0.0000 (multiplicity 2)  6 Pr 2.87-3.05
Se  0.0000  0.5000  0.3287 (multiplicity 4)  6 Pr 3.05-3.10

Calculated total energy, Ha/atom: -0.2269

***

Q: Which formula does entry 2 have?
A: Pr2ScSi3Rh4